Record 1
# MoPAu2 | Alexandria via LeMat-Bulk | PBE | relaxed
# Size of the total moment (μB per cell): 0.00
# DFT formation energy (eV per atom): 0.3958
# Energy (eV per atom): -5.303
data_MoPAu2
_chemical_formula_sum 'Mo1 P1 Au2'
_cell_length_a 3.7945
_cell_length_b 3.7945
_cell_length_c 4.6173
_cell_angle_alpha 90.00
_cell_angle_beta 90.00
_cell_angle_gamma 90.00
_symmetry_space_group_name_H-M 'P 4/m m m'
_symmetry_Int_Tables_number 123
_symmetry_space_group_name_Hall '-P 4 2'
loop_
_atom_site_label
_atom_site_type_symbol
_atom_site_fract_x
_atom_site_fract_y
_atom_site_fract_z
Mo1 Mo 0.0000 0.0000 0.0000
P1 P 0.5000 0.5000 0.0000
Au1 Au 0.0000 0.5000 0.5000

=====

Record 2
# MoPAu2 | Alexandria via LeMat-Bulk | PBE | relaxed
# Size of the total moment (μB per cell): 4.15
# DFT formation energy (eV per atom): 0.3559
# Energy (eV per atom): -5.343
data_MoPAu2
_chemical_formula_sum 'Mo4 P4 Au8'
_cell_length_a 7.3984
_cell_length_b 7.3984
_cell_length_c 5.1073
_cell_angle_alpha 90.00
_cell_angle_beta 90.00
_cell_angle_gamma 90.00
_symmetry_space_group_name_H-M 'I -4 2 d'
_symmetry_Int_Tables_number 122
_symmetry_space_group_name_Hall 'I -4 2bw'
loop_
_atom_site_label
_atom_site_type_symbol
_atom_site_fract_x
_atom_site_fract_y
_atom_site_fract_z
Mo1 Mo 0.0000 0.0000 0.0000
P1 P 0.0000 0.0000 0.5000
Au1 Au 0.2150 0.2500 0.6250

=====

Record 3
# MoPAu2 | Alexandria via LeMat-Bulk | PBE | relaxed
# Size of the total moment (μB per cell): 0.00
# DFT formation energy (eV per atom): 0.1959
# Energy (eV per atom): -5.503
data_MoPAu2
_chemical_formula_sum 'Mo2 P2 Au4'
_cell_length_a 3.2968
_cell_length_b 4.5321
_cell_length_c 9.4026
_cell_angle_alpha 90.00
_cell_angle_beta 90.00
_cell_angle_gamma 90.00
_symmetry_space_group_name_H-M 'C m m 2'
_symmetry_Int_Tables_number 35
loop_
_symmetry_equiv_pos_as_xyz
'x,y,z'
'-x,-y,z'
'-x,y,z'
'x,-y,z'
'x+1/2,y+1/2,z'
'-x+1/2,-y+1/2,z'
'-x+1/2,y+1/2,z'
'x+1/2,-y+1/2,z'
loop_
_atom_site_label
_atom_site_type_symbol
_atom_site_fract_x
_atom_site_fract_y
_atom_site_fract_z
Mo1 Mo 0.0000 0.0000 0.0000
P1 P 0.0000 0.5000 0.1879
Au1 Au 0.0000 0.0000 0.4909
Au2 Au 0.0000 0.5000 0.7492

=====

Record 4
# MoP4Au | Alexandria via LeMat-Bulk | PBE | relaxed
# Size of the total moment (μB per cell): 0.00
# DFT formation energy (eV per atom): 0.7356
# Energy (eV per atom): -5.222
data_MoP4Au
_chemical_formula_sum 'Mo4 P16 Au4'
_cell_length_a 7.1165
_cell_length_b 7.1165
_cell_length_c 7.1165
_cell_angle_alpha 90.00
_cell_angle_beta 90.00
_cell_angle_gamma 90.00
_symmetry_space_group_name_H-M 'F -4 3 m'
_symmetry_Int_Tables_number 216
_symmetry_space_group_name_Hall 'F -4 2 3'
loop_
_atom_site_label
_atom_site_type_symbol
_atom_site_fract_x
_atom_site_fract_y
_atom_site_fract_z
Mo1 Mo 0.0000 0.0000 0.0000
P1 P 0.1264 0.1264 0.6264
Au1 Au 0.2500 0.2500 0.2500

=====

Record 5
# MoPAu2 | Alexandria via LeMat-Bulk | PBE | relaxed
# Size of the total moment (μB per cell): 0.00
# DFT formation energy (eV per atom): 0.3591
# Energy (eV per atom): -5.340
data_MoPAu2
_chemical_formula_sum 'Mo2 P2 Au4'
_cell_length_a 5.3111
_cell_length_b 9.1751
_cell_length_c 2.7421
_cell_angle_alpha 90.00
_cell_angle_beta 90.00
_cell_angle_gamma 90.00
_symmetry_space_group_name_H-M 'C m m m'
_symmetry_Int_Tables_number 65
_symmetry_space_group_name_Hall '-C 2 2'
loop_
_atom_site_label
_atom_site_type_symbol
_atom_site_fract_x
_atom_site_fract_y
_atom_site_fract_z
Mo1 Mo 0.0000 0.0000 0.0000
P1 P 0.0000 0.5000 0.0000
Au1 Au 0.2500 0.2500 0.5000

=====

Record 6
# MoPAu2 | Alexandria via LeMat-Bulk | PBE | relaxed
# Size of the total moment (μB per cell): 0.00
# DFT formation energy (eV per atom): 0.4293
# Energy (eV per atom): -5.270
data_MoPAu2
_chemical_formula_sum 'Mo1 P1 Au2'
_cell_length_a 2.7562
_cell_length_b 4.4389
_cell_length_c 5.4675
_cell_angle_alpha 90.00
_cell_angle_beta 90.00
_cell_angle_gamma 90.00
_symmetry_space_group_name_H-M 'P m m m'
_symmetry_Int_Tables_number 47
loop_
_symmetry_equiv_pos_as_xyz
'x,y,z'
'-x,-y,-z'
'-x,-y,z'
'x,y,-z'
'x,-y,-z'
'-x,y,z'
'-x,y,-z'
'x,-y,z'
loop_
_atom_site_label
_atom_site_type_symbol
_atom_site_fract_x
_atom_site_fract_y
_atom_site_fract_z
Mo1 Mo 0.0000 0.0000 0.0000
P1 P 0.0000 0.0000 0.5000
Au1 Au 0.5000 0.5000 0.2465

=====

Record 7
# MoPAu2 | Alexandria via LeMat-Bulk | PBE | relaxed
# Size of the total moment (μB per cell): 0.00
# DFT formation energy (eV per atom): 0.3989
# Energy (eV per atom): -5.300
data_MoPAu2
_chemical_formula_sum 'Mo3 P3 Au6'
_cell_length_a 2.9468
_cell_length_b 2.9468
_cell_length_c 26.6951
_cell_angle_alpha 90.00
_cell_angle_beta 90.00
_cell_angle_gamma 120.00
_symmetry_space_group_name_H-M 'R -3 m'
_symmetry_Int_Tables_number 166
_symmetry_space_group_name_Hall '-R 3 2"'
loop_
_atom_site_label
_atom_site_type_symbol
_atom_site_fract_x
_atom_site_fract_y
_atom_site_fract_z
Mo1 Mo 0.0000 0.0000 0.0000
P1 P 0.0000 0.0000 0.5000
Au1 Au 0.0000 0.0000 0.2478

=====

Record 8
# MoPAu2 | Alexandria via LeMat-Bulk | PBE | relaxed
# Size of the total moment (μB per cell): 0.00
# DFT formation energy (eV per atom): 0.4468
# Energy (eV per atom): -5.252
data_MoPAu2
_chemical_formula_sum 'Mo2 P2 Au4'
_cell_length_a 3.7763
_cell_length_b 3.7763
_cell_length_c 9.4002
_cell_angle_alpha 90.00
_cell_angle_beta 90.00
_cell_angle_gamma 90.00
_symmetry_space_group_name_H-M 'I 4/m m m'
_symmetry_Int_Tables_number 139
_symmetry_space_group_name_Hall '-I 4 2'
loop_
_atom_site_label
_atom_site_type_symbol
_atom_site_fract_x
_atom_site_fract_y
_atom_site_fract_z
Mo1 Mo 0.0000 0.0000 0.0000
P1 P 0.0000 0.0000 0.5000
Au1 Au 0.0000 0.5000 0.2500

=====

Record 9
# MoPAu2 | Alexandria via LeMat-Bulk | PBE | relaxed
# Size of the total moment (μB per cell): 0.00
# DFT formation energy (eV per atom): 0.3388
# Energy (eV per atom): -5.360
data_MoPAu2
_chemical_formula_sum 'Mo1 P1 Au2'
_cell_length_a 2.8410
_cell_length_b 4.6539
_cell_length_c 5.1664
_cell_angle_alpha 90.00
_cell_angle_beta 103.44
_cell_angle_gamma 90.00
_symmetry_space_group_name_H-M 'P 1 2/m 1'
_symmetry_Int_Tables_number 10
loop_
_symmetry_equiv_pos_as_xyz
'x,y,z'
'-x,-y,-z'
'-x,y,-z'
'x,-y,z'
loop_
_atom_site_label
_atom_site_type_symbol
_atom_site_fract_x
_atom_site_fract_y
_atom_site_fract_z
Mo1 Mo 0.0000 0.0000 0.0000
P1 P 0.0000 0.0000 0.5000
Au1 Au 0.3408 0.5000 0.7409

=====

Record 10
# MoPAu2 | Alexandria via LeMat-Bulk | PBE | relaxed
# Size of the total moment (μB per cell): 0.00
# DFT formation energy (eV per atom): 0.0236
# Energy (eV per atom): -5.675
data_MoPAu2
_chemical_formula_sum 'Mo1 P1 Au2'
_cell_length_a 3.1066
_cell_length_b 3.1066
_cell_length_c 6.8103
_cell_angle_alpha 90.00
_cell_angle_beta 90.00
_cell_angle_gamma 90.00
_symmetry_space_group_name_H-M 'P 4 m m'
_symmetry_Int_Tables_number 99
loop_
_symmetry_equiv_pos_as_xyz
'x,y,z'
'-y,x,z'
'-x,-y,z'
'y,-x,z'
'-x,y,z'
'y,x,z'
'x,-y,z'
'-y,-x,z'
loop_
_atom_site_label
_atom_site_type_symbol
_atom_site_fract_x
_atom_site_fract_y
_atom_site_fract_z
Mo1 Mo 0.0000 0.0000 0.0000
P1 P 0.5000 0.5000 0.1666
Au1 Au 0.0000 0.0000 0.4391
Au2 Au 0.5000 0.5000 0.7216

=====

Record 11
# Mo3PAu | Alexandria via LeMat-Bulk | PBE | relaxed
# Size of the total moment (μB per cell): 0.00
# DFT formation energy (eV per atom): 0.5932
# Distance to the lowest polymorph of the same formula (meV/atom): 0
# Energy (eV per atom): -7.643
data_Mo3PAu
_chemical_formula_sum 'Mo3 P1 Au1'
_cell_length_a 4.4500
_cell_length_b 4.4500
_cell_length_c 4.4500
_cell_angle_alpha 90.00
_cell_angle_beta 90.00
_cell_angle_gamma 90.00
_symmetry_space_group_name_H-M 'P m -3 m'
_symmetry_Int_Tables_number 221
_symmetry_space_group_name_Hall '-P 4 2 3'
loop_
_atom_site_label
_atom_site_type_symbol
_atom_site_fract_x
_atom_site_fract_y
_atom_site_fract_z
Mo1 Mo 0.0000 0.0000 0.5000
P1 P 0.0000 0.0000 0.0000
Au1 Au 0.5000 0.5000 0.5000

=====

Record 12
# MoPAu2 | Alexandria via LeMat-Bulk | PBE | relaxed
# Size of the total moment (μB per cell): 0.84
# DFT formation energy (eV per atom): 0.6123
# Energy (eV per atom): -5.087
data_MoPAu2
_chemical_formula_sum 'Mo1 P1 Au2'
_cell_length_a 5.0486
_cell_length_b 5.0486
_cell_length_c 2.7305
_cell_angle_alpha 90.00
_cell_angle_beta 90.00
_cell_angle_gamma 90.00
_symmetry_space_group_name_H-M 'P 4/m m m'
_symmetry_Int_Tables_number 123
_symmetry_space_group_name_Hall '-P 4 2'
loop_
_atom_site_label
_atom_site_type_symbol
_atom_site_fract_x
_atom_site_fract_y
_atom_site_fract_z
Mo1 Mo 0.0000 0.0000 0.0000
P1 P 0.5000 0.5000 0.0000
Au1 Au 0.0000 0.5000 0.5000

=====

Record 13
# ReMoPAu2 | Alexandria via LeMat-Bulk | PBE | relaxed
# Size of the total moment (μB per cell): 0.50
# DFT formation energy (eV per atom): 1.7578
# Energy (eV per atom): -5.291
data_ReMoPAu2
_chemical_formula_sum 'Re1 Mo1 P1 Au2'
_cell_length_a 5.0238
_cell_length_b 5.0238
_cell_length_c 4.6844
_cell_angle_alpha 90.00
_cell_angle_beta 90.00
_cell_angle_gamma 90.00
_symmetry_space_group_name_H-M 'P 4/m m m'
_symmetry_Int_Tables_number 123
_symmetry_space_group_name_Hall '-P 4 2'
loop_
_atom_site_label
_atom_site_type_symbol
_atom_site_fract_x
_atom_site_fract_y
_atom_site_fract_z
Re1 Re 0.0000 0.0000 0.0000
Mo1 Mo 0.0000 0.0000 0.5000
P1 P 0.5000 0.5000 0.5000
Au1 Au 0.0000 0.5000 0.0000

=====

Record 14
# MoP2AuS | Alexandria via LeMat-Bulk | PBE | relaxed
# Size of the total moment (μB per cell): 0.00
# Distance to the lowest polymorph of the same formula (meV/atom): 0
# Energy (eV per atom): -5.265
data_MoP2AuS
_chemical_formula_sum 'Mo1 P2 Au1 S1'
_cell_length_a 4.7723
_cell_length_b 4.7723
_cell_length_c 4.5177
_cell_angle_alpha 90.00
_cell_angle_beta 90.00
_cell_angle_gamma 90.00
_symmetry_space_group_name_H-M 'P 4/m m m'
_symmetry_Int_Tables_number 123
_symmetry_space_group_name_Hall '-P 4 2'
loop_
_atom_site_label
_atom_site_type_symbol
_atom_site_fract_x
_atom_site_fract_y
_atom_site_fract_z
Mo1 Mo 0.0000 0.0000 0.0000
P1 P 0.0000 0.5000 0.0000
Au1 Au 0.5000 0.5000 0.5000
S1 S 0.0000 0.0000 0.5000

=====

Record 15
# MoPAuS2 | Alexandria via LeMat-Bulk | PBE | relaxed
# Size of the total moment (μB per cell): 0.00
# Distance to the lowest polymorph of the same formula (meV/atom): 0
# Energy (eV per atom): -5.113
data_MoPAuS2
_chemical_formula_sum 'Mo1 P1 Au1 S2'
_cell_length_a 4.5736
_cell_length_b 4.5736
_cell_length_c 4.9511
_cell_angle_alpha 90.00
_cell_angle_beta 90.00
_cell_angle_gamma 90.00
_symmetry_space_group_name_H-M 'P 4/m m m'
_symmetry_Int_Tables_number 123
_symmetry_space_group_name_Hall '-P 4 2'
loop_
_atom_site_label
_atom_site_type_symbol
_atom_site_fract_x
_atom_site_fract_y
_atom_site_fract_z
Mo1 Mo 0.0000 0.0000 0.0000
P1 P 0.0000 0.0000 0.5000
Au1 Au 0.5000 0.5000 0.5000
S1 S 0.0000 0.5000 0.0000